A plane-wave DFT calculation with PBE was carried out for Nd3Mg3Al8 after structural relaxation.

Cell lengths 4.407, 8.761, 8.761 Å; angles 71.39, 75.43, 75.43 degrees
Sites, in units of the cell vectors:
Nd1 0.500 0.500 0.500
Nd2 0.805 0.195 0.195
Nd3 0.195 0.805 0.805
Al1 0.161 0.467 0.211
Al2 0.839 0.789 0.533
Al3 0.839 0.533 0.789
Al4 0.648 0.626 0.078
Al5 0.352 0.922 0.374
Al6 0.161 0.211 0.467
Al7 0.352 0.374 0.922
Al8 0.648 0.078 0.626
Mg1 0.500 0.000 0.000
Mg2 0.000 0.208 0.792
Mg3 0.000 0.792 0.208

Results
As for the space-group type: No. 71. Its total magnetization is 0.00 μB/cell. The raw total energy is -53.7 eV per cell.